Entry 1:
Computed, not measured: a crystal of AlCdCo2 relaxed with PBEsol at the meta-GGA SCAN level of DFT.

The structure in CIF format:
```
data_AlCdCo2
_cell_length_a 4.1793
_cell_length_b 4.1793
_cell_length_c 2.9419
_cell_angle_alpha 90.00
_cell_angle_beta 90.00
_cell_angle_gamma 90.00
_symmetry_space_group_name_H-M 'P 4/m m m'
_symmetry_Int_Tables_number 123
_symmetry_space_group_name_Hall '-P 4 2'
loop_
_atom_site_label
_atom_site_fract_x
_atom_site_fract_y
_atom_site_fract_z
Al1 0.0000 0.0000 0.0000
Cd1 0.5000 0.5000 0.0000
Co1 0.0000 0.5000 0.5000
```

Its formation energy is 0.099 eV per atom. As for the energy: -18.095 eV/atom. The value obtained for the density is 8.313 g cm⁻³.

Entry 2:
Computed, not measured: a crystal of AlCdCo2 relaxed with PBEsol at the meta-GGA SCAN level of DFT.

The structure in CIF format:
```
data_AlCdCo2
_cell_length_a 5.9659
_cell_length_b 5.9659
_cell_length_c 5.9659
_cell_angle_alpha 90.00
_cell_angle_beta 90.00
_cell_angle_gamma 90.00
_symmetry_space_group_name_H-M 'F -4 3 m'
_symmetry_Int_Tables_number 216
_symmetry_space_group_name_Hall 'F -4 2 3'
loop_
_atom_site_label
_atom_site_fract_x
_atom_site_fract_y
_atom_site_fract_z
Al1 0.0000 0.0000 0.0000
Cd1 0.2500 0.2500 0.2500
Co1 0.0000 0.0000 0.5000
Co2 0.2500 0.2500 0.7500
```

Its formation energy is 0.097 eV per atom. As for the energy: -18.096 eV/atom. The value obtained for the density is 8.047 g cm⁻³.

Entry 3:
Computed, not measured: a crystal of AlCdCo2 relaxed with PBEsol at the meta-GGA SCAN level of DFT.

The structure in CIF format:
```
data_AlCdCo2
_cell_length_a 2.7377
_cell_length_b 2.7377
_cell_length_c 24.6258
_cell_angle_alpha 90.00
_cell_angle_beta 90.00
_cell_angle_gamma 120.00
_symmetry_space_group_name_H-M 'R -3 m'
_symmetry_Int_Tables_number 166
_symmetry_space_group_name_Hall '-R 3 2"'
loop_
_atom_site_label
_atom_site_fract_x
_atom_site_fract_y
_atom_site_fract_z
Al1 0.0000 0.0000 0.0000
Cd1 0.0000 0.0000 0.5000
Co1 0.0000 0.0000 0.2572
```

Its formation energy is 0.055 eV per atom. As for the energy: -18.138 eV/atom. The value obtained for the density is 8.018 g cm⁻³.

Entry 4:
Computed, not measured: a crystal of AlCdCo2 relaxed with PBEsol at the meta-GGA SCAN level of DFT.

The structure in CIF format:
```
data_AlCdCo2
_cell_length_a 9.2912
_cell_length_b 2.8036
_cell_length_c 4.3469
_cell_angle_alpha 90.00
_cell_angle_beta 109.96
_cell_angle_gamma 90.00
_symmetry_space_group_name_H-M 'C 1 m 1'
_symmetry_Int_Tables_number 8
loop_
_symmetry_equiv_pos_as_xyz
'x,y,z'
'x,-y,z'
'x+1/2,y+1/2,z'
'x+1/2,-y+1/2,z'
loop_
_atom_site_label
_atom_site_fract_x
_atom_site_fract_y
_atom_site_fract_z
Al1 0.0000 0.0000 0.0000
Cd1 0.2216 0.0000 0.6666
Co1 0.2426 0.5000 0.1819
Co2 0.4610 0.0000 0.4570
```

Its formation energy is 0.022 eV per atom. As for the energy: -18.172 eV/atom. The value obtained for the density is 8.028 g cm⁻³.

Entry 5:
Computed, not measured: a crystal of AlCdCo2O relaxed with PBEsol at the meta-GGA SCAN level of DFT.

The structure in CIF format:
```
data_AlCdCo2O
_cell_length_a 4.7738
_cell_length_b 4.7738
_cell_length_c 3.9128
_cell_angle_alpha 90.00
_cell_angle_beta 90.00
_cell_angle_gamma 90.00
_symmetry_space_group_name_H-M 'P 4/m m m'
_symmetry_Int_Tables_number 123
_symmetry_space_group_name_Hall '-P 4 2'
loop_
_atom_site_label
_atom_site_fract_x
_atom_site_fract_y
_atom_site_fract_z
Al1 0.0000 0.0000 0.0000
Cd1 0.5000 0.5000 0.5000
Co1 0.0000 0.5000 0.5000
O1 0.5000 0.5000 0.0000
```

As for the energy: -14.809 eV/atom. The value obtained for the density is 5.089 g cm⁻³.

Entry 6:
Computed, not measured: a crystal of AlCrCd2 relaxed with PBEsol at the meta-GGA SCAN level of DFT.

The structure in CIF format:
```
data_AlCrCd2
_cell_length_a 2.9752
_cell_length_b 2.9752
_cell_length_c 7.8237
_cell_angle_alpha 90.00
_cell_angle_beta 90.00
_cell_angle_gamma 90.00
_symmetry_space_group_name_H-M 'P 4 m m'
_symmetry_Int_Tables_number 99
loop_
_symmetry_equiv_pos_as_xyz
'x,y,z'
'-y,x,z'
'-x,-y,z'
'y,-x,z'
'-x,y,z'
'y,x,z'
'x,-y,z'
'-y,-x,z'
loop_
_atom_site_label
_atom_site_fract_x
_atom_site_fract_y
_atom_site_fract_z
Al1 0.0000 0.0000 0.0000
Cr1 0.5000 0.5000 0.8122
Cd1 0.0000 0.0000 0.5675
Cd2 0.5000 0.5000 0.2771
```

Its formation energy is 0.060 eV per atom. As for the energy: -21.681 eV/atom. The value obtained for the density is 7.284 g cm⁻³.

Entry 7:
Computed, not measured: a crystal of AlCrCd2 relaxed with PBEsol at the meta-GGA SCAN level of DFT.

The structure in CIF format:
```
data_AlCrCd2
_cell_length_a 12.8426
_cell_length_b 2.9189
_cell_length_c 4.2807
_cell_angle_alpha 90.00
_cell_angle_beta 109.34
_cell_angle_gamma 90.00
_symmetry_space_group_name_H-M 'C 1 2/m 1'
_symmetry_Int_Tables_number 12
loop_
_symmetry_equiv_pos_as_xyz
'x,y,z'
'-x,-y,-z'
'-x,y,-z'
'x,-y,z'
'x+1/2,y+1/2,z'
'-x+1/2,-y+1/2,-z'
'-x+1/2,y+1/2,-z'
'x+1/2,-y+1/2,z'
loop_
_atom_site_label
_atom_site_fract_x
_atom_site_fract_y
_atom_site_fract_z
Al1 0.0000 0.0000 0.0000
Cr1 0.0000 0.5000 0.5000
Cd1 0.1912 0.0000 0.6914
```

Its formation energy is 0.133 eV per atom. As for the energy: -21.608 eV/atom. The value obtained for the density is 6.664 g cm⁻³.

Entry 8:
Computed, not measured: a crystal of AlCrCd2 relaxed with PBEsol at the meta-GGA SCAN level of DFT.

The structure in CIF format:
```
data_AlCrCd2
_cell_length_a 4.1494
_cell_length_b 4.1494
_cell_length_c 8.1868
_cell_angle_alpha 90.00
_cell_angle_beta 90.00
_cell_angle_gamma 90.00
_symmetry_space_group_name_H-M 'I -4 m 2'
_symmetry_Int_Tables_number 119
_symmetry_space_group_name_Hall 'I -4 -2'
loop_
_atom_site_label
_atom_site_fract_x
_atom_site_fract_y
_atom_site_fract_z
Al1 0.0000 0.0000 0.0000
Cr1 0.0000 0.5000 0.2500
Cd1 0.0000 0.0000 0.5000
Cd2 0.0000 0.5000 0.7500
```

Its formation energy is 0.081 eV per atom. As for the energy: -21.661 eV/atom. The value obtained for the density is 7.158 g cm⁻³.

Entry 9:
Computed, not measured: a crystal of AlCrCd2 relaxed with PBEsol at the meta-GGA SCAN level of DFT.

The structure in CIF format:
```
data_AlCrCd2
_cell_length_a 2.9504
_cell_length_b 2.9504
_cell_length_c 8.4024
_cell_angle_alpha 90.00
_cell_angle_beta 90.00
_cell_angle_gamma 90.00
_symmetry_space_group_name_H-M 'P 4/m m m'
_symmetry_Int_Tables_number 123
_symmetry_space_group_name_Hall '-P 4 2'
loop_
_atom_site_label
_atom_site_fract_x
_atom_site_fract_y
_atom_site_fract_z
Al1 0.0000 0.0000 0.0000
Cr1 0.0000 0.0000 0.5000
Cd1 0.5000 0.5000 0.2626
```

Its formation energy is 0.171 eV per atom. As for the energy: -21.570 eV/atom. The value obtained for the density is 6.897 g cm⁻³.

Entry 10:
Computed, not measured: a crystal of HfAlCr2Cd relaxed with PBEsol at the meta-GGA SCAN level of DFT.

The structure in CIF format:
```
data_HfAlCr2Cd
_cell_length_a 4.5013
_cell_length_b 4.5013
_cell_length_c 4.9142
_cell_angle_alpha 90.00
_cell_angle_beta 90.00
_cell_angle_gamma 90.00
_symmetry_space_group_name_H-M 'P 4/m m m'
_symmetry_Int_Tables_number 123
_symmetry_space_group_name_Hall '-P 4 2'
loop_
_atom_site_label
_atom_site_fract_x
_atom_site_fract_y
_atom_site_fract_z
Hf1 0.0000 0.0000 0.0000
Al1 0.0000 0.0000 0.5000
Cr1 0.0000 0.5000 0.5000
Cd1 0.5000 0.5000 0.0000
```

Its formation energy is 0.883 eV per atom. As for the energy: -26.638 eV/atom. The value obtained for the density is 7.036 g cm⁻³.

Entry 11:
Computed, not measured: a crystal of AlCrCdPt2 relaxed with PBEsol at the meta-GGA SCAN level of DFT.

The structure in CIF format:
```
data_AlCrCdPt2
_cell_length_a 4.5335
_cell_length_b 4.5335
_cell_length_c 4.5728
_cell_angle_alpha 90.00
_cell_angle_beta 90.00
_cell_angle_gamma 90.00
_symmetry_space_group_name_H-M 'P 4/m m m'
_symmetry_Int_Tables_number 123
_symmetry_space_group_name_Hall '-P 4 2'
loop_
_atom_site_label
_atom_site_fract_x
_atom_site_fract_y
_atom_site_fract_z
Al1 0.0000 0.0000 0.0000
Cr1 0.0000 0.0000 0.5000
Cd1 0.5000 0.5000 0.5000
Pt1 0.0000 0.5000 0.0000
```

Its formation energy is 0.277 eV per atom. As for the energy: -39.110 eV/atom. The value obtained for the density is 10.275 g cm⁻³.

Entry 12:
Computed, not measured: a crystal of AlCrCd2Pt relaxed with PBEsol at the meta-GGA SCAN level of DFT.

The structure in CIF format:
```
data_AlCrCd2Pt
_cell_length_a 5.0745
_cell_length_b 5.0745
_cell_length_c 4.5474
_cell_angle_alpha 90.00
_cell_angle_beta 90.00
_cell_angle_gamma 90.00
_symmetry_space_group_name_H-M 'P 4/m m m'
_symmetry_Int_Tables_number 123
_symmetry_space_group_name_Hall '-P 4 2'
loop_
_atom_site_label
_atom_site_fract_x
_atom_site_fract_y
_atom_site_fract_z
Al1 0.0000 0.0000 0.0000
Cr1 0.5000 0.5000 0.5000
Cd1 0.0000 0.5000 0.5000
Pt1 0.5000 0.5000 0.0000
```

Its formation energy is 0.806 eV per atom. As for the energy: -30.626 eV/atom. The value obtained for the density is 7.075 g cm⁻³.

Entry 13:
Computed, not measured: a crystal of AlCdCu relaxed with PBEsol at the meta-GGA SCAN level of DFT.

The structure in CIF format:
```
data_AlCdCu
_cell_length_a 6.0198
_cell_length_b 6.0198
_cell_length_c 6.0198
_cell_angle_alpha 90.00
_cell_angle_beta 90.00
_cell_angle_gamma 90.00
_symmetry_space_group_name_H-M 'F -4 3 m'
_symmetry_Int_Tables_number 216
_symmetry_space_group_name_Hall 'F -4 2 3'
loop_
_atom_site_label
_atom_site_fract_x
_atom_site_fract_y
_atom_site_fract_z
Al1 0.0000 0.0000 0.0000
Cd1 0.2500 0.2500 0.7500
Cu1 0.2500 0.2500 0.2500
```

Its formation energy is 0.196 eV per atom. As for the energy: -17.593 eV/atom. The value obtained for the density is 6.179 g cm⁻³.

Entry 14:
Computed, not measured: a crystal of AlCdCu2 relaxed with PBEsol at the meta-GGA SCAN level of DFT.

The structure in CIF format:
```
data_AlCdCu2
_cell_length_a 3.0281
_cell_length_b 3.0281
_cell_length_c 6.1325
_cell_angle_alpha 90.00
_cell_angle_beta 90.00
_cell_angle_gamma 90.00
_symmetry_space_group_name_H-M 'P 4/m m m'
_symmetry_Int_Tables_number 123
_symmetry_space_group_name_Hall '-P 4 2'
loop_
_atom_site_label
_atom_site_fract_x
_atom_site_fract_y
_atom_site_fract_z
Al1 0.0000 0.0000 0.0000
Cd1 0.0000 0.0000 0.5000
Cu1 0.5000 0.5000 0.2168
```

Its formation energy is -0.153 eV per atom. As for the energy: -17.294 eV/atom. The value obtained for the density is 7.869 g cm⁻³.

Entry 15:
Computed, not measured: a crystal of AlCdCu3 relaxed with PBEsol at the meta-GGA SCAN level of DFT.

The structure in CIF format:
```
data_AlCdCu3
_cell_length_a 4.6663
_cell_length_b 4.6663
_cell_length_c 4.6663
_cell_angle_alpha 90.00
_cell_angle_beta 90.00
_cell_angle_gamma 90.00
_symmetry_space_group_name_H-M 'P m -3 m'
_symmetry_Int_Tables_number 221
_symmetry_space_group_name_Hall '-P 4 2 3'
loop_
_atom_site_label
_atom_site_fract_x
_atom_site_fract_y
_atom_site_fract_z
Al1 0.0000 0.0000 0.0000
Cd1 0.5000 0.5000 0.5000
Cu1 0.0000 0.5000 0.5000
```

Its formation energy is 1.080 eV per atom. As for the energy: -15.673 eV/atom. The value obtained for the density is 5.394 g cm⁻³.

Entry 16:
Computed, not measured: a crystal of Al2CdCuGe relaxed with PBEsol at the meta-GGA SCAN level of DFT.

The structure in CIF format:
```
data_Al2CdCuGe
_cell_length_a 4.8619
_cell_length_b 4.8619
_cell_length_c 4.9989
_cell_angle_alpha 90.00
_cell_angle_beta 90.00
_cell_angle_gamma 90.00
_symmetry_space_group_name_H-M 'P 4/m m m'
_symmetry_Int_Tables_number 123
_symmetry_space_group_name_Hall '-P 4 2'
loop_
_atom_site_label
_atom_site_fract_x
_atom_site_fract_y
_atom_site_fract_z
Al1 0.0000 0.5000 0.0000
Cd1 0.0000 0.0000 0.5000
Cu1 0.5000 0.5000 0.5000
Ge1 0.0000 0.0000 0.0000
```

Its formation energy is 0.893 eV per atom. As for the energy: -15.148 eV/atom. The value obtained for the density is 4.252 g cm⁻³.

Entry 17:
Computed, not measured: a crystal of AlCdCu2Sb relaxed with PBEsol at the meta-GGA SCAN level of DFT.

The structure in CIF format:
```
data_AlCdCu2Sb
_cell_length_a 4.7188
_cell_length_b 4.7188
_cell_length_c 5.6471
_cell_angle_alpha 90.00
_cell_angle_beta 90.00
_cell_angle_gamma 90.00
_symmetry_space_group_name_H-M 'P 4/m m m'
_symmetry_Int_Tables_number 123
_symmetry_space_group_name_Hall '-P 4 2'
loop_
_atom_site_label
_atom_site_fract_x
_atom_site_fract_y
_atom_site_fract_z
Al1 0.0000 0.0000 0.0000
Cd1 0.5000 0.5000 0.0000
Cu1 0.0000 0.5000 0.5000
Sb1 0.5000 0.5000 0.5000
```

As for the energy: -20.414 eV/atom. The value obtained for the density is 5.127 g cm⁻³.

Entry 18:
Computed, not measured: a crystal of MnAl2CdF relaxed with PBEsol at the meta-GGA SCAN level of DFT.

The structure in CIF format:
```
data_MnAl2CdF
_cell_length_a 4.1673
_cell_length_b 4.1673
_cell_length_c 4.7000
_cell_angle_alpha 90.00
_cell_angle_beta 90.00
_cell_angle_gamma 90.00
_symmetry_space_group_name_H-M 'P 4/m m m'
_symmetry_Int_Tables_number 123
_symmetry_space_group_name_Hall '-P 4 2'
loop_
_atom_site_label
_atom_site_fract_x
_atom_site_fract_y
_atom_site_fract_z
Mn1 0.0000 0.0000 0.0000
Al1 0.0000 0.5000 0.5000
Cd1 0.5000 0.5000 0.0000
F1 0.5000 0.5000 0.5000
```

As for the energy: -13.738 eV/atom. The value obtained for the density is 4.889 g cm⁻³.

Entry 19:
Computed, not measured: a crystal of AlCdOF2 relaxed with PBEsol at the meta-GGA SCAN level of DFT.

The structure in CIF format:
```
data_AlCdOF2
_cell_length_a 4.7059
_cell_length_b 4.7059
_cell_length_c 3.8143
_cell_angle_alpha 90.00
_cell_angle_beta 90.00
_cell_angle_gamma 90.00
_symmetry_space_group_name_H-M 'P 4/m m m'
_symmetry_Int_Tables_number 123
_symmetry_space_group_name_Hall '-P 4 2'
loop_
_atom_site_label
_atom_site_fract_x
_atom_site_fract_y
_atom_site_fract_z
Al1 0.0000 0.0000 0.0000
Cd1 0.5000 0.5000 0.0000
O1 0.5000 0.5000 0.5000
F1 0.0000 0.5000 0.5000
```

As for the energy: -10.768 eV/atom. The value obtained for the density is 3.802 g cm⁻³.

Entry 20:
Computed, not measured: a crystal of AlCd2Fe relaxed with PBEsol at the meta-GGA SCAN level of DFT.

The structure in CIF format:
```
data_AlCd2Fe
_cell_length_a 3.9317
_cell_length_b 3.9317
_cell_length_c 8.3109
_cell_angle_alpha 90.00
_cell_angle_beta 90.00
_cell_angle_gamma 90.00
_symmetry_space_group_name_H-M 'I -4 m 2'
_symmetry_Int_Tables_number 119
_symmetry_space_group_name_Hall 'I -4 -2'
loop_
_atom_site_label
_atom_site_fract_x
_atom_site_fract_y
_atom_site_fract_z
Al1 0.0000 0.0000 0.0000
Cd1 0.0000 0.0000 0.5000
Cd2 0.0000 0.5000 0.7500
Fe1 0.0000 0.5000 0.2500
```

Its formation energy is 0.182 eV per atom. As for the energy: -21.496 eV/atom. The value obtained for the density is 7.953 g cm⁻³.